No. 1
Computed, not measured: a relaxed InHO3 crystal at the GGA-PBE level of DFT.

The space group is R-3c (No. 167, hexagonal axes) and the conventional cell measures 4.6586, 4.6586 and 17.0843 Å, with angles of 90.00, 90.00 and 120.00 degrees. The asymmetric unit holds In at (0.0000, 0.0000, 0.0000), H at (0.0000, 0.0000, 0.2500) and O at (0.0000, 0.2915, 0.2500).

Its crystal system is trigonal.

No. 2
Computed, not measured: a relaxed As2PPbO8 crystal at the GGA-PBE level of DFT.

The space group is R32 (No. 155, hexagonal axes) and the conventional cell measures 4.8682, 4.8682 and 24.6978 Å, with angles of 90.00, 90.00 and 120.00 degrees. The asymmetric unit holds As at (0.0000, 0.0000, 0.2365), P at (0.0000, 0.0000, 0.5000), Pb at (0.0000, 0.0000, 0.0000), O at (0.0000, 0.0000, 0.3059) and O at (0.0280, 0.2979, 0.4517).

Its crystal system is trigonal. The calculation puts the uncorrected formation energy at -0.99 eV/atom.

Number 1: energy -4.6335 eV per atom, total magnetization 12.01 μB per cell. Number 2: energy -5.8305 eV per atom, total magnetization 0.00 μB per cell.